# In5Ga12Sn3 (GGA-PBE, relaxed)
# Density of states at the Fermi level, states/eV/cell: 37.44
# Density, g/cm3: 5.4
# Symmetry: No. 230
# E, eV per atom: -2.9318
# Calculated formation energy, meV/atom: 169
data_In5Ga12Sn3
_cell_length_a 14.133
_cell_length_b 14.133
_cell_length_c 14.133
_cell_angle_alpha 109.47
_cell_angle_beta 109.47
_cell_angle_gamma 109.47
_space_group_name_H-M_alt 'P 1'
_space_group_IT_number 1
loop_
_space_group_symop_operation_xyz
'x,y,z'
loop_
_atom_site_label
_atom_site_fract_x
_atom_site_fract_y
_atom_site_fract_z
_atom_site_occupancy
Sn1 0.750 0.375 0.125 1
Sn2 0.875 0.750 0.125 1
Sn3 0.375 0.750 0.625 1
Sn4 0.250 0.125 0.375 1
Sn5 0.875 0.125 0.250 1
Sn6 0.375 0.625 0.250 1
Sn7 0.625 0.375 0.750 1
Sn8 0.125 0.875 0.750 1
Sn9 0.750 0.875 0.625 1
Sn10 0.625 0.250 0.375 1
Sn11 0.125 0.250 0.875 1
Sn12 0.250 0.625 0.875 1
In1 0.125 0.375 0.250 1
In2 0.000 0.500 0.000 1
In3 0.000 0.000 0.000 1
In4 0.375 0.250 0.125 1
In5 0.500 0.000 0.500 1
In6 0.500 0.500 0.000 1
In7 0.125 0.750 0.375 1
In8 0.750 0.125 0.875 1
In9 0.750 0.625 0.375 1
In10 0.375 0.125 0.750 1
In11 0.625 0.875 0.250 1
In12 0.500 0.500 0.500 1
In13 0.500 0.000 0.000 1
In14 0.000 0.000 0.500 1
In15 0.250 0.375 0.625 1
In16 0.250 0.875 0.125 1
In17 0.000 0.500 0.500 1
In18 0.875 0.250 0.625 1
In19 0.625 0.750 0.875 1
In20 0.875 0.625 0.750 1
Ga1 0.732 0.140 0.066 1
Ga2 0.334 0.566 0.427 1
Ga3 0.934 0.360 0.268 1
Ga4 0.566 0.232 0.140 1
Ga5 0.592 0.732 0.666 1
Ga6 0.934 0.573 0.166 1
Ga7 0.334 0.768 0.408 1
Ga8 0.073 0.908 0.140 1
Ga9 0.573 0.934 0.666 1
Ga10 0.732 0.592 0.166 1
Ga11 0.768 0.434 0.360 1
Ga12 0.834 0.927 0.066 1
Ga13 0.140 0.732 0.566 1
Ga14 0.360 0.427 0.092 1
Ga15 0.092 0.927 0.360 1
Ga16 0.408 0.140 0.573 1
Ga17 0.092 0.166 0.232 1
Ga18 0.434 0.666 0.073 1
Ga19 0.834 0.908 0.268 1
Ga20 0.140 0.408 0.073 1
Ga21 0.360 0.934 0.768 1
Ga22 0.573 0.640 0.408 1
Ga23 0.927 0.834 0.566 1
Ga24 0.768 0.334 0.908 1
Ga25 0.427 0.360 0.592 1
Ga26 0.073 0.166 0.434 1
Ga27 0.232 0.666 0.092 1
Ga28 0.166 0.092 0.732 1
Ga29 0.640 0.066 0.232 1
Ga30 0.860 0.592 0.927 1
Ga31 0.566 0.334 0.927 1
Ga32 0.592 0.860 0.427 1
Ga33 0.908 0.834 0.768 1
Ga34 0.908 0.073 0.640 1
Ga35 0.860 0.268 0.434 1
Ga36 0.166 0.073 0.934 1
Ga37 0.640 0.573 0.908 1
Ga38 0.427 0.066 0.334 1
Ga39 0.268 0.408 0.834 1
Ga40 0.232 0.566 0.640 1
Ga41 0.927 0.092 0.860 1
Ga42 0.666 0.232 0.592 1
Ga43 0.434 0.768 0.860 1
Ga44 0.066 0.427 0.834 1
Ga45 0.408 0.268 0.334 1
Ga46 0.066 0.640 0.732 1
Ga47 0.666 0.434 0.573 1
Ga48 0.268 0.860 0.934 1

=====

# La6Y2Tm5 (GGA-PBE, relaxed)
# Density of states at the Fermi level, states/eV/cell: 36.65
# Density, g/cm3: 6.9
# Symmetry: No. 55
# E, eV per atom: -4.8739
# Calculated formation energy, meV/atom: 115
data_La6Y2Tm5
_cell_length_a 3.632
_cell_length_b 11.804
_cell_length_c 20.739
_cell_angle_alpha 90.00
_cell_angle_beta 90.00
_cell_angle_gamma 90.00
_space_group_name_H-M_alt 'P 1'
_space_group_IT_number 1
loop_
_space_group_symop_operation_xyz
'x,y,z'
loop_
_atom_site_label
_atom_site_fract_x
_atom_site_fract_y
_atom_site_fract_z
_atom_site_occupancy
La1 0.000 0.079 0.365 1
La2 0.000 0.921 0.635 1
La3 0.000 0.579 0.135 1
La4 0.000 0.421 0.865 1
La5 0.500 0.325 0.131 1
La6 0.500 0.675 0.869 1
La7 0.500 0.825 0.369 1
La8 0.500 0.175 0.631 1
La9 0.000 0.555 0.420 1
La10 0.000 0.445 0.580 1
La11 0.000 0.055 0.080 1
La12 0.000 0.945 0.920 1
Y1 0.000 0.337 0.289 1
Y2 0.000 0.663 0.711 1
Y3 0.000 0.837 0.211 1
Y4 0.000 0.163 0.789 1
Tm1 0.500 0.297 0.443 1
Tm2 0.500 0.703 0.557 1
Tm3 0.500 0.797 0.057 1
Tm4 0.500 0.203 0.943 1
Tm5 0.500 0.596 0.275 1
Tm6 0.500 0.404 0.725 1
Tm7 0.500 0.096 0.225 1
Tm8 0.500 0.904 0.775 1
Tm9 0.500 0.500 0.000 1
Tm10 0.500 0.000 0.500 1

=====

# TlAsSe2 (GGA-PBE, relaxed)
# Density of states at the Fermi level, states/eV/cell: 2.02
# Density, g/cm3: 7.6
# Symmetry: No. 123
# E, eV per atom: -3.3616
data_TlAsSe2
_cell_length_a 3.507
_cell_length_b 3.507
_cell_length_c 7.811
_cell_angle_alpha 90.00
_cell_angle_beta 90.00
_cell_angle_gamma 90.00
_space_group_name_H-M_alt 'P 1'
_space_group_IT_number 1
loop_
_space_group_symop_operation_xyz
'x,y,z'
loop_
_atom_site_label
_atom_site_fract_x
_atom_site_fract_y
_atom_site_fract_z
_atom_site_occupancy
Tl1 0.500 0.500 0.250 1
As1 0.500 0.500 0.750 1
Se1 0.000 0.000 0.953 1
Se2 0.000 0.000 0.547 1

=====

# TcSbTeI2 (GGA-PBE, relaxed)
# Density of states at the Fermi level, states/eV/cell: 4.72
# Density, g/cm3: 4.8
# Energy relative to the lowest polymorph listed for this composition, meV per atom: 521
# Symmetry: No. 123
# E, eV per atom: -3.0890
data_TcSbTeI2
_cell_length_a 5.897
_cell_length_b 5.897
_cell_length_c 5.952
_cell_angle_alpha 90.00
_cell_angle_beta 90.00
_cell_angle_gamma 90.00
_space_group_name_H-M_alt 'P 1'
_space_group_IT_number 1
loop_
_space_group_symop_operation_xyz
'x,y,z'
loop_
_atom_site_label
_atom_site_fract_x
_atom_site_fract_y
_atom_site_fract_z
_atom_site_occupancy
I1 0.000 0.500 0.000 1
I2 0.500 0.000 0.000 1
Sb1 0.000 0.000 0.000 1
Te1 0.000 0.000 0.500 1
Tc1 0.500 0.500 0.500 1